Entry 1:
Material: Rb2CrI
Method: DFT, PBEsol
State: optimized geometry

Cell lengths 6.210, 6.210, 6.210 Å; angles 60.00, 60.00, 60.00 degrees
Last column: magnetic moment on the atom in μB.
Positions (direct):
I: 0.500 0.500 0.500  0.02
Cr: 0.000 0.000 0.000  4.31
Rb: 0.250 0.250 0.250  0.01
Rb: 0.750 0.750 0.750  0.01

Computed properties:
total energy: -3.37 eV per atom
total moment: 5.2 μB per formula unit


Entry 2:
Material: RbCr2I2
Method: DFT, PBEsol
State: optimized geometry

Cell lengths 5.374, 6.050, 5.374 Å; angles 63.63, 90.00, 116.37 degrees
Positions (direct):
I: 0.750 0.500 0.750
I: 0.250 0.500 0.250
Cr: 0.591 0.182 0.409
Cr: 0.409 0.818 0.591
Rb: 0.000 0.000 0.000

Computed properties:
total energy: -4.66 eV per atom
total moment: 0.0 μB per formula unit